Computed, not measured: crystalline BaHf2Pb at its relaxed geometry at the GGA-PBE level of DFT.

## Properties
calculated density	11.17	g cm⁻³
offset from the most stable computed form	0	meV/atom
space-group type	Fm-3m
M_tot	0.0	μB per formula unit

Structure (CIF):
```
data_BaHf2Pb
_chemical_formula_sum 'Ba1 Hf2 Pb1'
_symmetry_space_group_name_H-M 'P 1'
_symmetry_Int_Tables_number 1
_cell_length_a 5.2828
_cell_length_b 5.2828
_cell_length_c 5.2828
_cell_angle_alpha 60.00
_cell_angle_beta 60.00
_cell_angle_gamma 60.00
loop_
_symmetry_equiv_pos_as_xyz
'x,y,z'
loop_
_atom_site_label
_atom_site_fract_x
_atom_site_fract_y
_atom_site_fract_z
Pb1 0.5000 0.5000 0.5000
Hf1 0.2500 0.2500 0.2500
Hf2 0.7500 0.7500 0.7500
Ba1 0.0000 0.0000 0.0000
```